Entry 1:
Density functional theory data (GGA-PBEsol) for a relaxed structure of ScRhSe2.

Cell and atoms, written as CIF:
```
data_ScRhSe2
_cell_length_a 3.9124
_cell_length_b 3.9124
_cell_length_c 16.4279
_cell_angle_alpha 90.00
_cell_angle_beta 90.00
_cell_angle_gamma 120.00
_space_group_name_H-M_alt 'R -3 m'
_space_group_IT_number 166
_space_group_name_Hall '-R 3 2"'
loop_
_atom_site_label
_atom_site_fract_x
_atom_site_fract_y
_atom_site_fract_z
Sc1 0.0000 0.0000 0.0000
Rh1 0.0000 0.0000 0.5000
Se1 0.0000 0.0000 0.2440
```

Calculated values
Electronic total energy (eV/atom): -6.442
Fermi-level density of states (states/eV per cell): 11.0
E_form (uncorrected) (eV/atom): -0.8313
Distance to the lowest polymorph of the same formula (eV/atom): 0.180



Entry 2:
Density functional theory data (GGA-PBEsol) for a relaxed structure of ScRhSe2.

Cell and atoms, written as CIF:
```
data_ScRhSe2
_cell_length_a 3.249
_cell_length_b 3.249
_cell_length_c 6.362
_cell_angle_alpha 90.00
_cell_angle_beta 90.00
_cell_angle_gamma 90.00
_space_group_name_H-M_alt 'P 4/m m m'
_space_group_IT_number 123
_space_group_name_Hall '-P 4 2'
loop_
_atom_site_label
_atom_site_fract_x
_atom_site_fract_y
_atom_site_fract_z
Sc1 0.000 0.000 0.000
Rh1 0.000 0.000 0.500
Se1 0.500 0.500 0.247
```

Calculated values
Electronic total energy (eV/atom): -6.216
Fermi-level density of states (states/eV per cell): 3.5
E_form (uncorrected) (eV/atom): -0.6054
Distance to the lowest polymorph of the same formula (eV/atom): 0.406



Entry 3:
Density functional theory data (GGA-PBEsol) for a relaxed structure of ScRhSe2.

Cell and atoms, written as CIF:
```
data_ScRhSe2
_cell_length_a 3.619
_cell_length_b 3.619
_cell_length_c 5.406
_cell_angle_alpha 90.00
_cell_angle_beta 90.00
_cell_angle_gamma 90.00
_space_group_name_H-M_alt 'P 4 m m'
_space_group_IT_number 99
_space_group_name_Hall 'P 4 -2'
loop_
_atom_site_label
_atom_site_fract_x
_atom_site_fract_y
_atom_site_fract_z
Sc1 0.000 0.000 0.000
Rh1 0.500 0.500 0.633
Se1 0.000 0.000 0.534
Se2 0.500 0.500 0.127
```

Calculated values
Electronic total energy (eV/atom): -6.622
Fermi-level density of states (states/eV per cell): 1.7
E_form (uncorrected) (eV/atom): -1.0114
Distance to the lowest polymorph of the same formula (eV/atom): 0.000



Entry 4:
Density functional theory data (GGA-PBEsol) for a relaxed structure of ScSiRh.

Cell and atoms, written as CIF:
```
data_ScSiRh
_cell_length_a 6.451
_cell_length_b 4.035
_cell_length_c 7.180
_cell_angle_alpha 90.00
_cell_angle_beta 90.00
_cell_angle_gamma 90.00
_space_group_name_H-M_alt 'P n m a'
_space_group_IT_number 62
_space_group_name_Hall '-P 2ac 2n'
loop_
_atom_site_label
_atom_site_fract_x
_atom_site_fract_y
_atom_site_fract_z
Sc1 0.008 0.250 0.189
Si1 0.214 0.750 0.385
Rh1 0.156 0.250 0.563
```

Calculated values
Electronic total energy (eV/atom): -7.990
Fermi-level density of states (states/eV per cell): 5.2
E_form (uncorrected) (eV/atom): -1.1604



Entry 5:
Density functional theory data (GGA-PBEsol) for a relaxed structure of Sc3Si3Rh.

Cell and atoms, written as CIF:
```
data_Sc3Si3Rh
_cell_length_a 11.573
_cell_length_b 3.985
_cell_length_c 10.123
_cell_angle_alpha 90.00
_cell_angle_beta 90.00
_cell_angle_gamma 90.00
_space_group_name_H-M_alt 'P n m a'
_space_group_IT_number 62
_space_group_name_Hall '-P 2ac 2n'
loop_
_atom_site_label
_atom_site_fract_x
_atom_site_fract_y
_atom_site_fract_z
Sc1 0.020 0.250 0.123
Sc2 0.101 0.250 0.420
Sc3 0.200 0.750 0.658
Si1 0.045 0.250 0.694
Si2 0.158 0.750 0.250
Si3 0.178 0.750 0.014
Rh1 0.177 0.250 0.889
```

Calculated values
Electronic total energy (eV/atom): -7.482
Fermi-level density of states (states/eV per cell): 13.5
E_form (uncorrected) (eV/atom): -1.0257



Entry 6:
Density functional theory data (GGA-PBEsol) for a relaxed structure of ScSnRh3.

Cell and atoms, written as CIF:
```
data_ScSnRh3
_cell_length_a 4.718
_cell_length_b 4.718
_cell_length_c 4.718
_cell_angle_alpha 90.00
_cell_angle_beta 90.00
_cell_angle_gamma 90.00
_space_group_name_H-M_alt 'P m -3 m'
_space_group_IT_number 221
_space_group_name_Hall '-P 4 2 3'
loop_
_atom_site_label
_atom_site_fract_x
_atom_site_fract_y
_atom_site_fract_z
Sc1 0.000 0.000 0.000
Sn1 0.500 0.500 0.500
Rh1 0.000 0.500 0.500
```

Calculated values
Electronic total energy (eV/atom): -6.479
Fermi-level density of states (states/eV per cell): 0.6
Formation enthalpy at 0 K (meV per atom): 577



Entry 7:
Density functional theory data (GGA-PBEsol) for a relaxed structure of SrScRh4.

Cell and atoms, written as CIF:
```
data_SrScRh4
_cell_length_a 7.429
_cell_length_b 7.429
_cell_length_c 7.429
_cell_angle_alpha 90.00
_cell_angle_beta 90.00
_cell_angle_gamma 90.00
_space_group_name_H-M_alt 'F -4 3 m'
_space_group_IT_number 216
_space_group_name_Hall 'F -4 2 3'
loop_
_atom_site_label
_atom_site_fract_x
_atom_site_fract_y
_atom_site_fract_z
Sr1 0.000 0.000 0.000
Sc1 0.250 0.250 0.250
Rh1 0.124 0.124 0.624
```

Calculated values
Electronic total energy (eV/atom): -7.217
Fermi-level density of states (states/eV per cell): 23.5
Formation enthalpy at 0 K (meV per atom): -384



Entry 8:
Density functional theory data (GGA-PBEsol) for a relaxed structure of SrScRh3.

Cell and atoms, written as CIF:
```
data_SrScRh3
_cell_length_a 4.757
_cell_length_b 4.757
_cell_length_c 4.757
_cell_angle_alpha 90.00
_cell_angle_beta 90.00
_cell_angle_gamma 90.00
_space_group_name_H-M_alt 'P m -3 m'
_space_group_IT_number 221
_space_group_name_Hall '-P 4 2 3'
loop_
_atom_site_label
_atom_site_fract_x
_atom_site_fract_y
_atom_site_fract_z
Sr1 0.000 0.000 0.000
Sc1 0.500 0.500 0.500
Rh1 0.000 0.000 0.500
```

Calculated values
Electronic total energy (eV/atom): -5.221
Fermi-level density of states (states/eV per cell): 2.6
Formation enthalpy at 0 K (meV per atom): 1351